Entry 1:
VASP calculation (PBE-GGA) on AcTb2Bi after structural relaxation.

a b c (Å): 4.076 4.076 7.913
angles (deg): 90.00 90.00 90.00
Positions (direct):
Ac  0.500  0.500  0.500
Tb  0.000  0.000  0.790
Tb  0.000  0.000  0.210
Bi  0.500  0.500  0.000

Calculated values
**Relative energy among the computed polymorphs**: 0 meV/atom
**Total magnetization**: 0.000 μB per atom
**Symmetry**: No. 123


Entry 2:
VASP calculation (PBE-GGA) on Ac3TbBi4 after structural relaxation.

a b c (Å): 8.294 8.290 9.591
angles (deg): 90.00 90.00 109.51
Positions (direct):
Ac  0.750  0.000  0.373
Ac  0.250  0.000  0.627
Ac  0.750  0.500  0.628
Ac  0.750  0.500  0.124
Ac  0.250  0.500  0.372
Ac  0.250  0.500  0.876
Tb  0.750  0.000  0.877
Tb  0.250  0.000  0.123
Bi  0.992  0.243  0.633
Bi  0.501  0.235  0.883
Bi  0.492  0.243  0.367
Bi  0.001  0.235  0.117
Bi  0.999  0.765  0.883
Bi  0.508  0.757  0.633
Bi  0.499  0.765  0.117
Bi  0.008  0.757  0.367

Calculated values
**Total magnetization**: 0.000 μB per atom
**Symmetry**: No. 13


Entry 3:
VASP calculation (PBE-GGA) on AcTb2Bi after structural relaxation.

a b c (Å): 4.144 4.144 10.221
angles (deg): 78.30 78.30 60.00
Each line ends with the local moment (μB).
Positions (direct):
Ac  0.501  0.501  0.498  0.01
Tb  0.066  0.066  0.802  0.15
Tb  0.267  0.267  0.199  -0.10
Bi  0.666  0.666  0.001  0.00

Calculated values
**Relative energy among the computed polymorphs**: 122 meV/atom
**Total magnetization**: 0.027 μB per atom
**Symmetry**: No. 160


Entry 4:
VASP calculation (PBE-GGA) on AcTb3Bi2 after structural relaxation.

a b c (Å): 4.552 10.976 9.952
angles (deg): 123.56 90.00 101.97
Each line ends with the local moment (μB).
Positions (direct):
Ac  0.886  0.772  0.903  0.01
Ac  0.114  0.228  0.097  0.01
Tb  0.311  0.622  0.510  0.22
Tb  0.940  0.880  0.553  0.08
Tb  0.637  0.273  0.795  0.01
Tb  0.363  0.727  0.205  0.01
Tb  0.060  0.120  0.447  0.08
Tb  0.689  0.378  0.490  0.22
Bi  0.485  0.971  0.810  0.00
Bi  0.515  0.029  0.190  0.00
Bi  0.758  0.516  0.219  0.00
Bi  0.242  0.484  0.781  0.00

Calculated values
**Total magnetization**: 0.074 μB per atom
**Symmetry**: No. 12


Entry 5:
VASP calculation (PBE-GGA) on AcTb2Bi after structural relaxation.

a b c (Å): 4.003 4.003 11.642
angles (deg): 80.10 80.10 60.00
Positions (direct):
Ac  0.000  0.000  0.000
Tb  0.108  0.108  0.677
Tb  0.892  0.892  0.323
Bi  0.500  0.500  0.500

Calculated values
**Relative energy among the computed polymorphs**: 364 meV/atom
**Total magnetization**: 0.000 μB per atom
**Symmetry**: No. 166


Entry 6:
VASP calculation (PBE-GGA) on AcTb2Bi after structural relaxation.

a b c (Å): 4.986 5.081 5.081
angles (deg): 90.00 90.00 90.00
Positions (direct):
Ac  0.500  0.500  0.500
Tb  0.000  0.000  0.500
Tb  0.000  0.500  0.000
Bi  0.500  0.000  0.000

Calculated values
**Relative energy among the computed polymorphs**: 19 meV/atom
**Total magnetization**: 0.000 μB per atom
**Symmetry**: No. 123


Total energy values, unit eV per atom, following the record order: -4.6585, -5.0092, -4.5362, -4.7969, -4.2947, -4.6393.